Entry from Alexandria: a relaxed structure of CaMnCd2O4 (PBE+U).

abc: 5.9830 5.9830 11.8856
angles: 90.00 90.00 148.00
Last column: nearest neighbours and their distance in Å.
Positions (direct):
Ca1 0.1440 0.8560 0.7500  6 O 2.40-2.51
Ca2 0.8560 0.1440 0.2500  6 O 2.40-2.51
Mn1 0.1142 0.8858 0.2500  4 O 2.06-2.12
Mn2 0.8858 0.1142 0.7500  4 O 2.06-2.12
Cd1 0.3685 0.6315 0.5288  5 O 2.26-2.44
Cd2 0.3685 0.6315 0.9712  5 O 2.26-2.44
Cd3 0.6315 0.3685 0.0288  5 O 2.26-2.44
Cd4 0.6315 0.3685 0.4712  5 O 2.26-2.44
O1 0.0000 0.0000 0.0000  4 Cd 2.26
O2 0.0000 0.0000 0.5000  4 Cd 2.26
O3 0.2490 0.7510 0.1287  1 Mn 2.12, 1 Cd 2.32
O4 0.2490 0.7510 0.3713  1 Mn 2.12, 1 Cd 2.32
O5 0.4930 0.5070 0.7500  2 Mn 2.06
O6 0.5070 0.4930 0.2500  2 Mn 2.06
O7 0.7510 0.2490 0.6287  1 Mn 2.12, 1 Cd 2.32
O8 0.7510 0.2490 0.8713  1 Mn 2.12, 1 Cd 2.32

Properties
* size of the total moment: 5.00 μB per formula unit
* crystal system: orthorhombic
* raw total energy: -5.42 eV/atom